DFT (GGA-PBE) results for a geometry-optimized MnSb2Se structure.

The total energy comes out at -0.1868 hartree per atom. The density of states at the Fermi level is 2.26 states/eV/f.u. The total magnetization comes out at 9.2 μB/cell.

The structure belongs to space group R-3m (No. 166, hexagonal axes); the cell edges are 3.7582, 3.7582 and 22.3342 Å and the angles 90.00°, 90.00° and 120.00°. The distinct sites, in fractional coordinates, are Mn at (0.0000, 0.0000, 0.0000), Sb at (0.0000, 0.0000, 0.2586) and Se at (0.0000, 0.0000, 0.5000).

DFT (GGA-PBE) results for a geometry-optimized Mg8TlZn2 structure.

The calculated formation energy comes out at -0.34 eV/f.u. The density of states at the Fermi level is 4.65 states/eV/f.u. The total magnetization comes out at 0.0 μB/cell. Its distance to the lowest polymorph of the same formula is 0 meV/atom.

The structure belongs to space group C2/m (No. 12); the cell edges are 15.735, 4.563 and 7.167 Å and the angles 90.00°, 113.33° and 90.00°. The distinct sites, in fractional coordinates, are Mg at (0.032, 0.000, 0.241), Mg at (0.103, 0.500, 0.970), Mg at (0.176, 0.000, 0.758), Mg at (0.178, 0.500, 0.428), Tl at (0.000, 0.500, 0.500) and Zn at (0.197, 0.000, 0.173).

DFT (GGA-PBE) results for a geometry-optimized Zr2InNiH structure.

The total energy comes out at -0.2239 hartree per atom. The density of states at the Fermi level is 5.04 states/eV/f.u. The total magnetization comes out at 0.0 μB/cell.

The structure belongs to space group P4/mmm (No. 123); the cell edges are 4.425, 4.425 and 4.030 Å and the angles 90.00°, 90.00° and 90.00°. The distinct sites, in fractional coordinates, are Zr at (0.000, 0.500, 0.000), In at (0.000, 0.000, 0.500), Ni at (0.500, 0.500, 0.500) and H at (0.500, 0.500, 0.000).

DFT (GGA-PBE) results for a geometry-optimized BeCrBCl2 structure.

The total energy comes out at -0.1532 hartree per atom. The density of states at the Fermi level is 1.03 states/eV/f.u. The total magnetization comes out at 5.0 μB/cell.

The structure belongs to space group P4/mmm (No. 123); the cell edges are 4.967, 4.967 and 3.607 Å and the angles 90.00°, 90.00° and 90.00°. The distinct sites, in fractional coordinates, are Be at (0.000, 0.000, 0.000), Cr at (0.500, 0.500, 0.000), B at (0.000, 0.000, 0.500) and Cl at (0.000, 0.500, 0.500).

DFT (GGA-PBE) results for a geometry-optimized Si2PRu structure.

The total energy comes out at -0.2332 hartree per atom. The density of states at the Fermi level is 1.73 states/eV/f.u. The total magnetization comes out at 0.0 μB/cell.

The structure belongs to space group P4mm (No. 99); the cell edges are 2.882, 2.882 and 6.770 Å and the angles 90.00°, 90.00° and 90.00°. The distinct sites, in fractional coordinates, are Si at (0.000, 0.000, 0.000), Si at (0.500, 0.500, 0.255), P at (0.000, 0.000, 0.554) and Ru at (0.500, 0.500, 0.765).

DFT (GGA-PBE) results for a geometry-optimized BaMoSe2 structure.

The density of states at the Fermi level is 1.99 states/eV/f.u. The total magnetization comes out at 7.5 μB/cell. Its distance to the lowest polymorph of the same formula is 169 meV/atom.

The structure belongs to space group Immm (No. 71); the cell edges are 4.168, 6.559 and 8.286 Å and the angles 90.00°, 90.00° and 90.00°. The distinct sites, in fractional coordinates, are Ba at (0.000, 0.000, 0.000), Mo at (0.000, 0.000, 0.500) and Se at (0.000, 0.500, 0.197).